# 1
This record from OQMD via LeMat-Bulk describes a relaxed structure of Bi10Te10Pt. The functional is PBE.

The structure in POSCAR format:
```
Bi10Te10Pt
1.0
12.4476 0.0000 0.0000
0.0000 13.5340 0.0000
0.0000 0.0000 8.7556
Bi Te Pt
20 20 2
Direct
0.0000 0.0000 0.2471
0.0000 0.0000 0.7529
0.1348 0.4145 0.2820
0.1348 0.4145 0.7180
0.1540 0.6599 0.5000
0.2083 0.5555 0.0000
0.2917 0.0555 0.0000
0.3460 0.1599 0.5000
0.3652 0.9145 0.2820
0.3652 0.9145 0.7180
0.5000 0.5000 0.2471
0.5000 0.5000 0.7529
0.6348 0.0855 0.2820
0.6348 0.0855 0.7180
0.6540 0.8401 0.5000
0.7083 0.9445 0.0000
0.7917 0.4445 0.0000
0.8460 0.3401 0.5000
0.8652 0.5855 0.2820
0.8652 0.5855 0.7180
0.0112 0.3343 0.0000
0.1223 0.8838 0.0000
0.1483 0.8932 0.5000
0.1730 0.1768 0.2590
0.1730 0.1768 0.7410
0.3270 0.6768 0.2590
0.3270 0.6768 0.7410
0.3517 0.3932 0.5000
0.3777 0.3838 0.0000
0.4888 0.8343 0.0000
0.5112 0.1657 0.0000
0.6223 0.6162 0.0000
0.6483 0.6068 0.5000
0.6730 0.3232 0.2590
0.6730 0.3232 0.7410
0.8270 0.8232 0.2590
0.8270 0.8232 0.7410
0.8517 0.1068 0.5000
0.8777 0.1162 0.0000
0.9888 0.6657 0.0000
0.0000 0.5000 0.5000
0.5000 0.0000 0.5000
```

***

# 2
PBE Y3Ni2, optimized geometry; distance to the lowest polymorph of the same formula = 0.0000 eV/atom
1.0
7.5303 0.0000 0.0000
0.0000 7.5303 0.0000
0.0000 0.0000 3.8972
Y Ni
6 4
Direct
0.0000 0.0000 0.0000
0.1647 0.3353 0.5000
0.3353 0.8353 0.5000
0.5000 0.5000 0.0000
0.6647 0.1647 0.5000
0.8353 0.6647 0.5000
0.1227 0.6227 0.0000
0.3773 0.1227 0.0000
0.6227 0.8773 0.0000
0.8773 0.3773 0.0000

***

# 3
This record from OQMD via LeMat-Bulk describes a relaxed structure of YErGa4Cu2. The functional is PBE.

The structure in POSCAR format:
```
YErGa4Cu2
1.0
6.5316 0.0000 0.0000
0.0000 4.3129 0.0000
0.0000 0.0000 10.0788
Y Er Ga Cu
2 2 8 4
Direct
0.0000 0.0000 0.0000
0.0000 0.5000 0.5000
0.5000 0.0000 0.8210
0.5000 0.5000 0.3210
0.1987 0.0000 0.2848
0.1987 0.5000 0.7848
0.3029 0.0000 0.5378
0.3029 0.5000 0.0378
0.6971 0.0000 0.5378
0.6971 0.5000 0.0378
0.8013 0.0000 0.2848
0.8013 0.5000 0.7848
0.0000 0.0000 0.7097
0.0000 0.5000 0.2097
0.5000 0.0000 0.1125
0.5000 0.5000 0.6125
```

***

| no. | DFT total energy (eV per formula unit) | magnetization (μB per atom) |
| --- | --- | --- |
| 1 | -79.67 | 0.001 |
| 2 | -32.11 | 0.001 |
| 3 | -34.62 | 0.001 |